1.
First-principles (PBE-GGA) data for a relaxed structure of Zn2CdAu2, as listed in Alexandria via LeMat-Bulk.

Properties
- Excess energy over the best structure of this formula in the dataset: 33.9 meV per atom
- E_form: -0.135 eV/atom
- Crystal system: monoclinic
- Symmetry: P2_1/m, No. 11

Lattice parameters (Å, degrees): 4.318 4.518 9.902 90.00 90.16 90.00
Positions (direct):
Zn (0.248, 0.250, 0.497)
Zn (0.250, 0.250, 0.820)
Zn (0.750, 0.750, 0.180)
Zn (0.752, 0.750, 0.503)
Cd (0.254, 0.250, 0.191)
Cd (0.746, 0.750, 0.809)
Au (0.248, 0.750, 0.997)
Au (0.251, 0.750, 0.354)
Au (0.749, 0.250, 0.646)
Au (0.752, 0.250, 0.003)

2.
First-principles (PBE-GGA) data for a relaxed structure of AlCdRe3, as listed in Alexandria via LeMat-Bulk.

Properties
- Excess energy over the best structure of this formula in the dataset: 1313.7 meV per atom
- E_form: 3.072 eV/atom
- Crystal system: cubic
- Symmetry: Pm-3m, No. 221

Lattice parameters (Å, degrees): 4.784 4.784 4.784 90.00 90.00 90.00
Positions (direct):
Al (0.000, 0.000, 0.000)
Cd (0.500, 0.500, 0.500)
Re (0.000, 0.500, 0.500)
Re (0.500, 0.000, 0.500)
Re (0.500, 0.500, 0.000)

3.
First-principles (PBE-GGA) data for a relaxed structure of Dy2Sc3Ga2, as listed in Alexandria via LeMat-Bulk.

Properties
- E_form: -0.346 eV/atom
- Crystal system: monoclinic
- Symmetry: C2/m, No. 12

Lattice parameters (Å, degrees): 5.946 5.946 7.678 108.85 108.85 42.07
Positions (direct):
Dy (0.143, 0.143, 0.291)
Dy (0.857, 0.857, 0.709)
Sc (0.371, 0.371, 0.062)
Sc (0.500, 0.500, 0.500)
Sc (0.629, 0.629, 0.938)
Ga (0.161, 0.161, 0.713)
Ga (0.839, 0.839, 0.287)